BiPbF | PBE | optimized geometry

The structure in CIF format:
```
data_BiPbF
_chemical_formula_sum 'Bi1 Pb1 F1'
_cell_length_a 3.5675
_cell_length_b 3.5675
_cell_length_c 7.3032
_cell_angle_alpha 90.00
_cell_angle_beta 90.00
_cell_angle_gamma 120.00
_space_group_name_H-M_alt 'P 1'
_space_group_IT_number 1
loop_
_space_group_symop_operation_xyz
'x,y,z'
loop_
_atom_site_label
_atom_site_type_symbol
_atom_site_fract_x
_atom_site_fract_y
_atom_site_fract_z
Pb1 Pb 0.6667 0.3333 0.3978
Bi1 Bi 0.0000 0.0000 0.0067
F1 F 0.3333 0.6667 0.5955
```

Output
Relative energy among the computed polymorphs in meV per atom: 15
Formation energy without anion corrections in eV/f.u.: -2.80
Symmetry: P3m1
Magnetic moment in Bohr magnetons per cell: 0.00

Bi2PbF11 | PBE | optimized geometry

The structure in CIF format:
```
data_Bi2PbF11
_chemical_formula_sum 'Bi4 Pb2 F22'
_cell_length_a 8.2465
_cell_length_b 8.5807
_cell_length_c 8.5807
_cell_angle_alpha 74.50
_cell_angle_beta 61.28
_cell_angle_gamma 61.28
_space_group_name_H-M_alt 'P 1'
_space_group_IT_number 1
loop_
_space_group_symop_operation_xyz
'x,y,z'
loop_
_atom_site_label
_atom_site_type_symbol
_atom_site_fract_x
_atom_site_fract_y
_atom_site_fract_z
F1 F 0.8731 0.7834 0.2166
Bi1 Bi 0.1445 0.8172 0.1828
Bi2 Bi 0.3555 0.3172 0.6828
F2 F 0.9488 0.8215 0.4751
Pb1 Pb 0.7500 0.7500 0.7500
F3 F 0.5512 0.0249 0.6785
F4 F 0.0512 0.1785 0.5249
F5 F 0.7453 0.6785 0.0249
F6 F 0.9294 0.4286 0.2951
F7 F 0.2547 0.3215 0.9751
F8 F 0.0000 0.0000 0.0000
F9 F 0.4488 0.9751 0.3215
F10 F 0.1532 0.0714 0.2049
F11 F 0.3468 0.2951 0.4286
F12 F 0.2453 0.5249 0.1785
Pb2 Pb 0.2500 0.2500 0.2500
F13 F 0.1269 0.2166 0.7834
F14 F 0.8468 0.9286 0.7951
F15 F 0.6532 0.7049 0.5714
Bi3 Bi 0.8555 0.1828 0.8172
F16 F 0.3731 0.7166 0.2834
Bi4 Bi 0.6445 0.6828 0.3172
F17 F 0.5000 0.5000 0.5000
F18 F 0.0706 0.5714 0.7049
F19 F 0.5706 0.2049 0.0714
F20 F 0.4294 0.7951 0.9286
F21 F 0.6269 0.2834 0.7166
F22 F 0.7547 0.4751 0.8215
```

Output
Formation energy without anion corrections in eV/f.u.: -28.94
Symmetry: Ibam
Magnetic moment in Bohr magnetons per cell: 0.00

BiPbF2 | PBE | optimized geometry

The structure in CIF format:
```
data_BiPbF2
_chemical_formula_sum 'Bi1 Pb1 F2'
_cell_length_a 8.8870
_cell_length_b 8.8870
_cell_length_c 8.8870
_cell_angle_alpha 22.25
_cell_angle_beta 22.25
_cell_angle_gamma 22.25
_space_group_name_H-M_alt 'P 1'
_space_group_IT_number 1
loop_
_space_group_symop_operation_xyz
'x,y,z'
loop_
_atom_site_label
_atom_site_type_symbol
_atom_site_fract_x
_atom_site_fract_y
_atom_site_fract_z
Bi1 Bi 0.0000 0.0000 0.0000
F1 F 0.0886 0.0886 0.0886
Pb1 Pb 0.5000 0.5000 0.5000
F2 F 0.9114 0.9114 0.9114
```

Output
Relative energy among the computed polymorphs in meV per atom: 0
Formation energy without anion corrections in eV/f.u.: -5.83
Symmetry: R-3m
Magnetic moment in Bohr magnetons per cell: 0.00

Bi3PbF | PBE | optimized geometry

The structure in CIF format:
```
data_Bi3PbF
_chemical_formula_sum 'Bi3 Pb1 F1'
_cell_length_a 5.9427
_cell_length_b 5.9427
_cell_length_c 5.9427
_cell_angle_alpha 90.00
_cell_angle_beta 90.00
_cell_angle_gamma 90.00
_space_group_name_H-M_alt 'P 1'
_space_group_IT_number 1
loop_
_space_group_symop_operation_xyz
'x,y,z'
loop_
_atom_site_label
_atom_site_type_symbol
_atom_site_fract_x
_atom_site_fract_y
_atom_site_fract_z
F1 F 0.5000 0.5000 0.5000
Bi1 Bi 0.0000 0.5000 0.0000
Pb1 Pb 0.0000 0.0000 0.0000
Bi2 Bi 0.0000 0.0000 0.5000
Bi3 Bi 0.5000 0.0000 0.0000
```

Output
Relative energy among the computed polymorphs in meV per atom: 912
Formation energy without anion corrections in eV/f.u.: 2.86
Symmetry: Pm-3m
Magnetic moment in Bohr magnetons per cell: 0.00

BiPb2F8 | PBE | optimized geometry

The structure in CIF format:
```
data_BiPb2F8
_chemical_formula_sum 'Bi1 Pb2 F8'
_cell_length_a 4.0225
_cell_length_b 5.7482
_cell_length_c 7.6165
_cell_angle_alpha 108.88
_cell_angle_beta 105.31
_cell_angle_gamma 90.00
_space_group_name_H-M_alt 'P 1'
_space_group_IT_number 1
loop_
_space_group_symop_operation_xyz
'x,y,z'
loop_
_atom_site_label
_atom_site_type_symbol
_atom_site_fract_x
_atom_site_fract_y
_atom_site_fract_z
F1 F 0.3397 0.0418 0.6794
Bi1 Bi 0.5000 0.0000 0.0000
Pb1 Pb 0.8224 0.3224 0.6448
F2 F 0.9715 0.1916 0.9430
F3 F 0.0285 0.8084 0.0570
F4 F 0.5937 0.4227 0.1873
F5 F 0.6603 0.9582 0.3206
F6 F 0.2180 0.3128 0.4360
F7 F 0.4063 0.5773 0.8127
F8 F 0.7820 0.6872 0.5640
Pb2 Pb 0.1776 0.6776 0.3552
```

Output
Relative energy among the computed polymorphs in meV per atom: 0
Formation energy without anion corrections in eV/f.u.: -24.58
Symmetry: C2/m
Magnetic moment in Bohr magnetons per cell: 0.00

BiPb2F8 | PBE | optimized geometry

The structure in CIF format:
```
data_BiPb2F8
_chemical_formula_sum 'Bi1 Pb2 F8'
_cell_length_a 3.9094
_cell_length_b 6.6623
_cell_length_c 7.0638
_cell_angle_alpha 118.14
_cell_angle_beta 106.06
_cell_angle_gamma 90.00
_space_group_name_H-M_alt 'P 1'
_space_group_IT_number 1
loop_
_space_group_symop_operation_xyz
'x,y,z'
loop_
_atom_site_label
_atom_site_type_symbol
_atom_site_fract_x
_atom_site_fract_y
_atom_site_fract_z
F1 F 0.0000 0.6843 0.0000
Pb1 Pb 0.1697 0.6697 0.3394
F2 F 0.1203 0.1203 0.2406
F3 F 0.0000 0.3157 0.0000
Pb2 Pb 0.8303 0.3303 0.6606
F4 F 0.3414 0.5705 0.6827
F5 F 0.8797 0.8797 0.7594
Bi1 Bi 0.5000 0.0000 0.0000
F6 F 0.3414 0.1123 0.6827
F7 F 0.6586 0.8877 0.3173
F8 F 0.6586 0.4295 0.3173
```

Output
Relative energy among the computed polymorphs in meV per atom: 78
Formation energy without anion corrections in eV/f.u.: -23.72
Symmetry: Immm
Magnetic moment in Bohr magnetons per cell: 0.00

BiPb2F | PBE | optimized geometry

The structure in CIF format:
```
data_BiPb2F
_chemical_formula_sum 'Bi1 Pb2 F1'
_cell_length_a 5.3339
_cell_length_b 5.3339
_cell_length_c 5.3339
_cell_angle_alpha 60.00
_cell_angle_beta 60.00
_cell_angle_gamma 60.00
_space_group_name_H-M_alt 'P 1'
_space_group_IT_number 1
loop_
_space_group_symop_operation_xyz
'x,y,z'
loop_
_atom_site_label
_atom_site_type_symbol
_atom_site_fract_x
_atom_site_fract_y
_atom_site_fract_z
F1 F 0.0000 0.0000 0.0000
Pb1 Pb 0.7500 0.7500 0.7500
Bi1 Bi 0.5000 0.5000 0.5000
Pb2 Pb 0.2500 0.2500 0.2500
```

Output
Relative energy among the computed polymorphs in meV per atom: 48
Formation energy without anion corrections in eV/f.u.: -2.62
Symmetry: Fm-3m
Magnetic moment in Bohr magnetons per cell: 0.00

BiPbF2 | PBE | optimized geometry

The structure in CIF format:
```
data_BiPbF2
_chemical_formula_sum 'Bi2 Pb2 F4'
_cell_length_a 7.1136
_cell_length_b 7.1136
_cell_length_c 6.0294
_cell_angle_alpha 53.85
_cell_angle_beta 53.85
_cell_angle_gamma 90.00
_space_group_name_H-M_alt 'P 1'
_space_group_IT_number 1
loop_
_space_group_symop_operation_xyz
'x,y,z'
loop_
_atom_site_label
_atom_site_type_symbol
_atom_site_fract_x
_atom_site_fract_y
_atom_site_fract_z
F1 F 0.8750 0.8630 0.7500
F2 F 0.1370 0.6250 0.2500
F3 F 0.6130 0.1250 0.2500
Bi1 Bi 0.0000 0.0000 0.0000
F4 F 0.3750 0.3870 0.7500
Pb1 Pb 0.5000 0.5000 0.0000
Pb2 Pb 0.2500 0.7500 0.5000
Bi2 Bi 0.7500 0.2500 0.5000
```

Output
Relative energy among the computed polymorphs in meV per atom: 184
Formation energy without anion corrections in eV/f.u.: -5.09
Symmetry: I-42d
Magnetic moment in Bohr magnetons per cell: 0.00

BiPbF3 | PBE | optimized geometry

The structure in CIF format:
```
data_BiPbF3
_chemical_formula_sum 'Bi1 Pb1 F3'
_cell_length_a 4.7306
_cell_length_b 4.7306
_cell_length_c 4.7306
_cell_angle_alpha 90.00
_cell_angle_beta 90.00
_cell_angle_gamma 90.00
_space_group_name_H-M_alt 'P 1'
_space_group_IT_number 1
loop_
_space_group_symop_operation_xyz
'x,y,z'
loop_
_atom_site_label
_atom_site_type_symbol
_atom_site_fract_x
_atom_site_fract_y
_atom_site_fract_z
F1 F 0.5000 0.0000 0.0000
F2 F 0.0000 0.0000 0.5000
F3 F 0.0000 0.5000 0.0000
Bi1 Bi 0.0000 0.0000 0.0000
Pb1 Pb 0.5000 0.5000 0.5000
```

Output
Relative energy among the computed polymorphs in meV per atom: 0
Formation energy without anion corrections in eV/f.u.: -7.56
Symmetry: Pm-3m
Magnetic moment in Bohr magnetons per cell: 0.00

BiPbF5 | PBE | optimized geometry

The structure in CIF format:
```
data_BiPbF5
_chemical_formula_sum 'Bi2 Pb2 F10'
_cell_length_a 5.3074
_cell_length_b 5.3074
_cell_length_c 8.1048
_cell_angle_alpha 91.62
_cell_angle_beta 91.62
_cell_angle_gamma 86.63
_space_group_name_H-M_alt 'P 1'
_space_group_IT_number 1
loop_
_space_group_symop_operation_xyz
'x,y,z'
loop_
_atom_site_label
_atom_site_type_symbol
_atom_site_fract_x
_atom_site_fract_y
_atom_site_fract_z
F1 F 0.5994 0.7293 0.4969
F2 F 0.0802 0.6171 0.3193
F3 F 0.3829 0.9198 0.1807
F4 F 0.8161 0.1839 0.2500
F5 F 0.9198 0.3829 0.6807
Bi1 Bi 0.4776 0.5224 0.2500
Bi2 Bi 0.5224 0.4776 0.7500
F6 F 0.1839 0.8161 0.7500
F7 F 0.7293 0.5994 0.9969
Pb1 Pb 0.0000 0.0000 0.0000
F8 F 0.4006 0.2707 0.5031
Pb2 Pb 0.0000 0.0000 0.5000
F9 F 0.6171 0.0802 0.8193
F10 F 0.2707 0.4006 0.0031
```

Output
Formation energy without anion corrections in eV/f.u.: -16.57
Symmetry: C2/c
Magnetic moment in Bohr magnetons per cell: 0.00

Bi2PbF8 | PBE | optimized geometry

The structure in CIF format:
```
data_Bi2PbF8
_chemical_formula_sum 'Bi2 Pb1 F8'
_cell_length_a 4.4039
_cell_length_b 6.4459
_cell_length_c 6.4459
_cell_angle_alpha 112.03
_cell_angle_beta 96.76
_cell_angle_gamma 96.76
_space_group_name_H-M_alt 'P 1'
_space_group_IT_number 1
loop_
_space_group_symop_operation_xyz
'x,y,z'
loop_
_atom_site_label
_atom_site_type_symbol
_atom_site_fract_x
_atom_site_fract_y
_atom_site_fract_z
Bi1 Bi 0.0000 0.6794 0.3206
F1 F 0.5000 0.2433 0.7567
F2 F 0.0751 0.3229 0.0505
Bi2 Bi 0.0000 0.3206 0.6794
F3 F 0.9249 0.6771 0.9495
F4 F 0.0751 0.0505 0.3229
F5 F 0.5000 0.7567 0.2433
F6 F 0.9249 0.9495 0.6771
Pb1 Pb 0.5000 0.0000 0.0000
F7 F 0.6989 0.3698 0.3698
F8 F 0.3011 0.6302 0.6302
```

Output
Relative energy among the computed polymorphs in meV per atom: 0
Formation energy without anion corrections in eV/f.u.: -26.69
Symmetry: C2/m
Magnetic moment in Bohr magnetons per cell: 0.00

Bi2PbF8 | PBE | optimized geometry

The structure in CIF format:
```
data_Bi2PbF8
_chemical_formula_sum 'Bi2 Pb1 F8'
_cell_length_a 8.8566
_cell_length_b 8.8566
_cell_length_c 8.8566
_cell_angle_alpha 151.90
_cell_angle_beta 151.90
_cell_angle_gamma 40.16
_space_group_name_H-M_alt 'P 1'
_space_group_IT_number 1
loop_
_space_group_symop_operation_xyz
'x,y,z'
loop_
_atom_site_label
_atom_site_type_symbol
_atom_site_fract_x
_atom_site_fract_y
_atom_site_fract_z
F1 F 0.8138 0.8138 0.0000
F2 F 0.0869 0.5869 0.5000
F3 F 0.7500 0.2500 0.5000
F4 F 0.1862 0.1862 0.0000
F5 F 0.5869 0.0869 0.5000
F6 F 0.4131 0.9131 0.5000
Bi1 Bi 0.3225 0.3225 0.0000
F7 F 0.9131 0.4131 0.5000
Pb1 Pb 0.0000 0.0000 0.0000
F8 F 0.2500 0.7500 0.5000
Bi2 Bi 0.6775 0.6775 0.0000
```

Output
Relative energy among the computed polymorphs in meV per atom: 175
Formation energy without anion corrections in eV/f.u.: -24.76
Symmetry: I4/mmm
Magnetic moment in Bohr magnetons per cell: 0.00